(1)
{"formula": "Tm2VFeO6", "functional": "PBE+U", "state": "relaxed", "lattice_angstrom": [[5.3950, -0.0187, 0.0112], [2.6808, 4.7575, 0.0497], [2.6987, 1.6270, 4.7423]], "species": ["O", "O", "O", "O", "O", "O", "V", "Fe", "Tm", "Tm"], "frac_coords": [[0.4424, 0.6893, 0.7577], [0.5740, 0.2083, 0.2431], [0.6787, 0.1133, 0.7719], [0.1861, 0.9603, 0.2622], [0.1192, 0.4318, 0.7775], [0.9664, 0.5822, 0.2510], [0.3181, 0.3172, 0.0504], [0.8125, 0.8115, 0.5720], [0.0322, 0.0191, 0.9180], [0.5320, 0.5287, 0.4115]], "energy_ev_per_atom": -7.879, "density_g_cm3": 7.39}

(2)
{"formula": "UFe2O5", "functional": "PBE+U", "state": "relaxed", "lattice_angstrom": [[-0.8732, -3.6903, -1.6604], [-1.4300, 0.2080, 5.4503], [-9.5785, 3.4566, -2.6450]], "species": ["O", "O", "O", "O", "O", "O", "O", "O", "O", "O", "U", "U", "Fe", "Fe", "Fe", "Fe"], "frac_coords": [[0.2561, 0.5122, 0.7500], [0.6905, 0.3809, 0.5870], [0.0467, 0.0934, 0.1203], [0.3095, 0.6191, 0.4130], [0.9533, 0.9066, 0.8797], [0.0467, 0.0934, 0.3797], [0.3095, 0.6191, 0.0870], [0.6905, 0.3809, 0.9130], [0.9533, 0.9066, 0.6203], [0.7439, 0.4878, 0.2500], [0.8138, 0.6277, 0.7500], [0.1862, 0.3723, 0.2500], [0.8579, 0.7159, 0.0581], [0.8579, 0.7159, 0.4419], [0.1421, 0.2841, 0.9419], [0.1421, 0.2841, 0.5581]], "energy_ev_per_atom": -8.133, "density_g_cm3": 6.25}

(3)
{"formula": "U3Fe5O12", "functional": "PBE+U", "state": "relaxed", "lattice_angstrom": [[10.8952, 0.0000, 0.0000], [-3.6317, 10.2721, 0.0000], [-3.6317, -5.1360, 8.8959]], "species": ["U", "U", "U", "U", "U", "U", "U", "U", "U", "U", "U", "U", "O", "O", "O", "O", "O", "O", "O", "O", "O", "O", "O", "O", "O", "O", "O", "O", "O", "O", "O", "O", "O", "O", "O", "O", "O", "O", "O", "O", "O", "O", "O", "O", "O", "O", "O", "O", "O", "O", "O", "O", "O", "O", "O", "O", "O", "O", "O", "O", "Fe", "Fe", "Fe", "Fe", "Fe", "Fe", "Fe", "Fe", "Fe", "Fe", "Fe", "Fe", "Fe", "Fe", "Fe", "Fe", "Fe", "Fe", "Fe", "Fe"], "frac_coords": [[0.7500, 0.8750, 0.6250], [0.8750, 0.7500, 0.1250], [0.7500, 0.3750, 0.1250], [0.1250, 0.8750, 0.7500], [0.1250, 0.2500, 0.8750], [0.3750, 0.7500, 0.6250], [0.2500, 0.6250, 0.8750], [0.2500, 0.1250, 0.3750], [0.3750, 0.6250, 0.2500], [0.6250, 0.3750, 0.7500], [0.8750, 0.1250, 0.2500], [0.6250, 0.2500, 0.3750], [0.4159, 0.0431, 0.3271], [0.6273, 0.0431, 0.2160], [0.7840, 0.3271, 0.9113], [0.5841, 0.9569, 0.6729], [0.5841, 0.6273, 0.4113], [0.0887, 0.1729, 0.2160], [0.0841, 0.1729, 0.4569], [0.9113, 0.0841, 0.6273], [0.8727, 0.2840, 0.4569], [0.3727, 0.4159, 0.0887], [0.4569, 0.6729, 0.0841], [0.9569, 0.5841, 0.1729], [0.9159, 0.0887, 0.8727], [0.6273, 0.5841, 0.9113], [0.9569, 0.3727, 0.2840], [0.0887, 0.9159, 0.3727], [0.3727, 0.9569, 0.7840], [0.4159, 0.3727, 0.5887], [0.5431, 0.2160, 0.1273], [0.1729, 0.0887, 0.7160], [0.1273, 0.7160, 0.5431], [0.8727, 0.5887, 0.9159], [0.2160, 0.6729, 0.0887], [0.4113, 0.1273, 0.5841], [0.7840, 0.4569, 0.3727], [0.8271, 0.9159, 0.0431], [0.3271, 0.5431, 0.4159], [0.2840, 0.8727, 0.9569], [0.0431, 0.4159, 0.8271], [0.1729, 0.0841, 0.9569], [0.9113, 0.8271, 0.7840], [0.6729, 0.2160, 0.5887], [0.6729, 0.4569, 0.5841], [0.9159, 0.8271, 0.5431], [0.7160, 0.5887, 0.1729], [0.8271, 0.9113, 0.2840], [0.0431, 0.6273, 0.7160], [0.2160, 0.5431, 0.6273], [0.5431, 0.3271, 0.9159], [0.1273, 0.4113, 0.0841], [0.3271, 0.7840, 0.4113], [0.7160, 0.1273, 0.0431], [0.5887, 0.8727, 0.4159], [0.5887, 0.7160, 0.6729], [0.0841, 0.9113, 0.1273], [0.2840, 0.4113, 0.8271], [0.4569, 0.7840, 0.8727], [0.4113, 0.2840, 0.3271], [0.2500, 0.3750, 0.6250], [0.1250, 0.7500, 0.3750], [0.0000, 0.0000, 0.5000], [0.5000, 0.5000, 0.0000], [0.8750, 0.2500, 0.6250], [0.0000, 0.5000, 0.0000], [0.0000, 0.5000, 0.5000], [0.7500, 0.1250, 0.8750], [0.3750, 0.1250, 0.7500], [0.2500, 0.8750, 0.1250], [0.3750, 0.2500, 0.1250], [0.5000, 0.0000, 0.0000], [0.0000, 0.0000, 0.0000], [0.6250, 0.8750, 0.2500], [0.8750, 0.6250, 0.7500], [0.7500, 0.6250, 0.3750], [0.5000, 0.0000, 0.5000], [0.1250, 0.3750, 0.2500], [0.6250, 0.7500, 0.8750], [0.5000, 0.5000, 0.5000]], "energy_ev_per_atom": -8.215, "density_g_cm3": 7.91}

- Number 1 is which compound?
  Tm2VFeO6

- Which formula does entry 2 have?
  UFe2O5